{
  "formula": "Ag3TeCl2F6",
  "functional": "PBE",
  "state": "relaxed",
  "cell": [[4.946, 0.000, 0.009], [0.000, 7.050, 0.000], [-0.715, -3.525, 7.007]],
  "species": ["Ag", "Ag", "Ag", "Cl", "Cl", "F", "F", "F", "F", "F", "F", "Te"],
  "fractional_positions": [[0.000, 0.500, 0.000], [0.500, 0.500, 0.500], [0.500, 0.000, 0.500], [0.199, 0.677, 0.354], [0.801, 0.323, 0.646], [0.256, 0.736, 0.886], [0.689, 0.880, 0.760], [0.311, 0.120, 0.240], [0.744, 0.264, 0.114], [0.256, 0.150, 0.886], [0.744, 0.850, 0.114], [0.500, 0.000, 0.000]],
  "spacegroup": "No. 12",
  "total_energy_ev_per_fu": -42.42,
  "crystal_system": "monoclinic",
  "raw_formation_energy_ev_per_fu": -15.8,
  "dos_ef_per_ev_fu": 5.9
}